(1)
The following is a DFT calculation (PBE) of an optimized crystal structure of YPuTh.

Unit cell a=3.5376 b=3.5376 c=8.4569 alpha=90.00 beta=90.00 gamma=120.00
Last column: nearest neighbours and their distance in Å.
Space group P3m1 (No. 156)
Inequivalent atoms, fractional coordinates:
Y 0.0000 0.0000 0.0000 x1  3 Pu 3.54, 6 Y 3.54, 3 Th 3.55
Pu 0.6667 0.3333 0.3414 x1  3 Th 3.36, 3 Y 3.54, 6 Pu 3.54
Th 0.3333 0.6667 0.6570 x1  3 Pu 3.36, 6 Th 3.54, 3 Y 3.55

Values from the calculation:
Total energy = -27.84 eV for the cell shown
Energy relative to the lowest polymorph listed for this composition = 0.03 eV/f.u.
Spin magnetization = 5.90 μB per formula unit
Formation energy from the elements = 0.126 eV per atom

=====

(2)
The following is a DFT calculation (PBE) of an optimized crystal structure of YPuTh2.

Unit cell a=3.5436 b=3.5436 c=34.1699 alpha=90.00 beta=90.00 gamma=120.00
Last column: nearest neighbours and their distance in Å.
Space group R3m (No. 160, hexagonal axes)
Inequivalent atoms, fractional coordinates:
Y 0.0000 0.0000 0.0000 x3  6 Y 3.54, 6 Th 3.55-3.61
Pu 0.0000 0.0000 0.8302 x3  6 Th 3.38-3.49, 6 Pu 3.54
Th 0.0000 0.0000 0.2463 x3  3 Pu 3.49, 6 Th 3.54, 3 Y 3.61
Th 0.0000 0.0000 0.4182 x3  3 Pu 3.38, 6 Th 3.54, 3 Y 3.55

Values from the calculation:
Total energy = -105.55 eV for the cell shown
Energy relative to the lowest polymorph listed for this composition = 0.04 eV/f.u.
Spin magnetization = 5.60 μB per formula unit
Formation energy from the elements = 0.113 eV per atom

=====

(3)
The following is a DFT calculation (PBE) of an optimized crystal structure of Y14PuTh.

Unit cell a=11.3706 b=7.2428 c=12.5949 alpha=90.00 beta=90.00 gamma=90.00
Last column: nearest neighbours and their distance in Å.
Space group Amm2 (No. 38)
Inequivalent atoms, fractional coordinates:
Y 0.0000 0.0000 0.0000 x2  12 Y 3.52-3.63
Y 0.0000 0.0000 0.4995 x2  12 Y 3.53-3.64
Y 0.0000 0.2498 0.2501 x4  12 Y 3.53-3.64
Y 0.2491 0.0000 0.1654 x4  11 Y 3.52-3.65, 1 Th 3.54
Y 0.2505 0.0000 0.6650 x4  1 Pu 3.52, 11 Y 3.53-3.67
Y 0.2525 0.2489 0.4178 x8  1 Pu 3.50, 1 Th 3.51, 10 Y 3.52-3.67
Y 0.5000 0.2489 0.2505 x4  8 Y 3.52-3.64, 2 Pu 3.62-3.64, 2 Th 3.63-3.64
Pu 0.5000 0.0000 0.4998 x2  10 Y 3.50-3.64, 2 Th 3.62
Th 0.5000 0.0000 0.9996 x2  10 Y 3.51-3.64, 2 Pu 3.62

Values from the calculation:
Total energy = -223.46 eV for the cell shown
Spin magnetization = 5.85 μB per formula unit
Formation energy from the elements = 0.032 eV per atom

=====

(4)
The following is a DFT calculation (PBE) of an optimized crystal structure of YPuTh.

Unit cell a=3.5448 b=3.5448 c=14.4655 alpha=90.00 beta=90.00 gamma=90.00
Last column: nearest neighbours and their distance in Å.
Space group I4mm (No. 107)
Inequivalent atoms, fractional coordinates:
Y 0.0000 0.0000 0.0000 x2  4 Th 3.54, 4 Y 3.54, 4 Pu 3.55
Pu 0.0000 0.0000 0.6735 x2  4 Th 3.35, 4 Pu 3.54, 4 Y 3.55
Th 0.0000 0.0000 0.3269 x2  4 Pu 3.35, 4 Y 3.54, 4 Th 3.54

Values from the calculation:
Total energy = -55.73 eV for the cell shown
Energy relative to the lowest polymorph listed for this composition = 0.00 eV/f.u.
Spin magnetization = 5.55 μB per formula unit
Formation energy from the elements = 0.117 eV per atom